DFT (PBE) results for a relaxed structure of SiH3Pb.

a = 4.137 Å, b = 4.137 Å, c = 4.137 Å
α = 90.00°, β = 90.00°, γ = 90.00°
Sites, in units of the cell vectors:
Pb (0.000, 0.000, 0.000)
H (0.000, 0.500, 0.000)
H (0.000, 0.000, 0.500)
H (0.500, 0.000, 0.000)
Si (0.500, 0.500, 0.500)

Properties
The value obtained for the mass density is 5.589 g/cm³. The crystal system is cubic. The calculation puts the energy above the most stable polymorph in this dataset at 245 kJ/mol of formula units.

---

DFT (PBE) results for a relaxed structure of SiHPb2.

a = 5.908 Å, b = 5.908 Å, c = 7.128 Å
α = 65.52°, β = 65.52°, γ = 90.00°
Sites, in units of the cell vectors:
Pb (0.559, 0.125, 0.250)
Pb (0.191, 0.625, 0.250)
Pb (0.375, 0.441, 0.750)
Pb (0.875, 0.809, 0.750)
H (0.500, 0.500, 0.000)
H (0.250, 0.750, 0.500)
Si (0.000, 0.000, 0.000)
Si (0.750, 0.250, 0.500)

Properties
The value obtained for the mass density is 7.307 g/cm³. The crystal system is tetragonal. The calculation puts the energy above the most stable polymorph in this dataset at 0 kJ/mol of formula units.

---

DFT (PBE) results for a relaxed structure of SiHPb.

a = 6.334 Å, b = 6.334 Å, c = 4.510 Å
α = 111.43°, β = 107.79°, γ = 121.49°
Sites, in units of the cell vectors:
Pb (0.285, 0.692, 0.976)
Pb (0.715, 0.308, 0.024)
H (0.000, 0.000, 0.500)
H (0.500, 0.500, 0.500)
Si (0.210, 0.102, 0.312)
Si (0.790, 0.898, 0.688)

Properties
As for the final energy: -11.3 eV/f.u. The value obtained for the mass density is 7.002 g/cm³. The crystal system is monoclinic.

---

DFT (PBE) results for a relaxed structure of Sm6HPb3.

a = 6.319 Å, b = 9.674 Å, c = 9.674 Å
α = 101.77°, β = 90.00°, γ = 90.00°
Sites, in units of the cell vectors:
Sm (0.137, 0.766, 0.664)
Sm (0.637, 0.664, 0.766)
Sm (0.233, 0.459, 0.894)
Sm (0.733, 0.894, 0.459)
Sm (0.011, 0.090, 0.910)
Sm (0.773, 0.306, 0.694)
Sm (0.273, 0.694, 0.306)
Sm (0.511, 0.910, 0.090)
Sm (0.233, 0.106, 0.541)
Sm (0.733, 0.541, 0.106)
Sm (0.137, 0.336, 0.234)
Sm (0.637, 0.234, 0.336)
H (0.096, 0.240, 0.760)
H (0.596, 0.760, 0.240)
Pb (0.526, 0.986, 0.764)
Pb (0.026, 0.764, 0.986)
Pb (0.313, 0.445, 0.555)
Pb (0.813, 0.555, 0.445)
Pb (0.026, 0.014, 0.236)
Pb (0.526, 0.236, 0.014)

Properties
As for the final energy: -46.4 eV/f.u. The value obtained for the mass density is 8.747 g/cm³. The crystal system is orthorhombic.

---

DFT (PBE) results for a relaxed structure of Sm3H2Pb.

a = 3.661 Å, b = 6.488 Å, c = 12.277 Å
α = 106.22°, β = 98.57°, γ = 90.00°
Sites, in units of the cell vectors:
Sm (0.235, 0.254, 0.469)
Sm (0.033, 0.788, 0.065)
Sm (0.396, 0.649, 0.793)
Sm (0.765, 0.746, 0.531)
Sm (0.604, 0.351, 0.207)
Sm (0.967, 0.212, 0.935)
H (0.294, 0.594, 0.588)
H (0.706, 0.406, 0.412)
H (0.943, 0.837, 0.886)
H (0.057, 0.163, 0.114)
Pb (0.351, 0.120, 0.703)
Pb (0.649, 0.880, 0.297)

Properties
As for the final energy: -27.1 eV/f.u. The value obtained for the mass density is 7.928 g/cm³. The crystal system is monoclinic.

---

DFT (PBE) results for a relaxed structure of Sm3HPb2.

a = 6.448 Å, b = 8.867 Å, c = 6.719 Å
α = 103.47°, β = 118.68°, γ = 90.00°
Sites, in units of the cell vectors:
Sm (0.342, 0.250, 0.000)
Sm (0.658, 0.750, 0.000)
Sm (0.023, 0.154, 0.289)
Sm (0.734, 0.346, 0.711)
Sm (0.266, 0.654, 0.289)
Sm (0.977, 0.846, 0.711)
H (0.997, 0.750, 0.000)
H (0.003, 0.250, 0.000)
Pb (0.770, 0.506, 0.288)
Pb (0.518, 0.006, 0.288)
Pb (0.482, 0.994, 0.712)
Pb (0.230, 0.494, 0.712)

Properties
As for the final energy: -27.7 eV/f.u. The value obtained for the mass density is 8.856 g/cm³. The crystal system is monoclinic.

---

> Which value of mass density does entry 4 give?

8.747 g/cm³

---

> Number 1 is which compound?

SiH3Pb

---

> Which of these has the highest mass density?

Sm3HPb2

---

> mass density of number 4 (Sm6HPb3)?

8.747 g/cm³